# TaAlCr | the Alexandria database | PBE | relaxed
data_TaAlCr
_symmetry_space_group_name_H-M 'F -4 3 m'
_symmetry_Int_Tables_number 216
_symmetry_space_group_name_Hall 'F -4 2 3'
_cell_length_a 6.1390
_cell_length_b 6.1390
_cell_length_c 6.1390
_cell_angle_alpha 90.00
_cell_angle_beta 90.00
_cell_angle_gamma 90.00
loop_
_atom_site_label
_atom_site_type_symbol
_atom_site_fract_x
_atom_site_fract_y
_atom_site_fract_z
Ta1 Ta 0.0000 0.0000 0.0000
Al1 Al 0.2500 0.2500 0.7500
Cr1 Cr 0.2500 0.2500 0.2500
# **VASP energy**: -7.481 eV per atom
# **Volume**: 19.28 Å³/atom
# **Crystal system**: cubic
# **Energy of formation from the pure elements**: 925 meV/atom
# **Polymorph energy (0 for the lowest one)**: 1114 meV/atom